12
Lattice="3.9941 -6.9143 0.0000 3.9941 6.9143 0.0000 -2.6580 0.0000 8.0697" Properties=species:S:1:pos:R:3 comment="K3Np2InTe6 (PBE, relaxed)" crystal_system=monoclinic e_tot_ha_per_atom=-0.18461 dos_ef_per_ev_cell=18.8 pbc="T T T"
K 0.0000 0.0000 0.0000
K 3.9941 2.2304 0.0000
K 3.9941 -2.2304 0.0000
Np 2.6651 4.6011 4.0348
Np 2.6651 -4.6011 4.0348
In 2.6651 0.0000 4.0348
Te 1.2792 2.3921 2.3683
Te -0.0971 0.0000 5.6872
Te 1.2792 -2.3921 2.3683
Te 4.0511 2.3921 5.7014
Te 5.4274 0.0000 2.3825
Te 4.0511 -2.3921 5.7014